<1>
A relaxed structure of Nd5Er2In, computed with PBE-GGA.

```
Nd5Er2In
1.0
-0.613 6.238 -4.324
-5.716 2.474 4.382
6.043 -2.283 2.555
Nd Er In
5 2 1
direct
0.696 0.696 0.937 Nd
0.773 0.773 0.546 Nd
0.242 0.242 0.937 Nd
0.696 0.242 0.937 Nd
0.241 0.696 0.937 Nd
0.719 0.219 0.438 Er
0.219 0.719 0.438 Er
0.192 0.192 0.384 In
```

Values from the calculation:
- ρ: 7.64 g/cm³

<2>
A relaxed structure of Nd5Er2In, computed with PBE-GGA.

```
Nd5Er2In
1.0
-4.275 2.475 -0.808
-2.021 -4.134 -1.970
-0.205 -1.942 10.648
Nd In Er
5 1 2
direct
0.500 0.500 0.000 Nd
0.124 0.624 0.247 Nd
0.876 0.376 0.753 Nd
0.624 0.124 0.247 Nd
0.376 0.876 0.753 Nd
0.000 0.000 0.000 In
0.251 0.251 0.503 Er
0.749 0.749 0.497 Er
```

Values from the calculation:
- ρ: 7.58 g/cm³

Most stable: <2>

<1>
A relaxed structure of Nd3Er2In2, computed with PBE-GGA.

```
Nd3Er2In2
1.0
-4.505 0.804 -2.006
-1.444 -2.180 2.369
-3.928 9.614 6.453
In Nd Er
2 3 2
direct
0.428 0.500 0.143 In
0.572 0.500 0.857 In
0.143 0.000 0.714 Nd
0.000 0.000 0.000 Nd
0.857 0.000 0.286 Nd
0.713 0.500 0.575 Er
0.287 0.500 0.425 Er
```

Values from the calculation:
- ρ: 7.84 g/cm³

<2>
A relaxed structure of Nd3Er2In2, computed with PBE-GGA.

```
Nd3Er2In2
1.0
3.514 0.000 0.000
0.000 7.999 -0.736
-1.757 -3.383 7.854
In Er Nd
2 2 3
direct
0.433 0.098 0.866 In
0.567 0.902 0.134 In
0.872 0.713 0.743 Er
0.128 0.287 0.257 Er
0.790 0.214 0.579 Nd
0.000 0.500 0.000 Nd
0.210 0.786 0.421 Nd
```

Values from the calculation:
- ρ: 7.81 g/cm³

Most stable: <1>